## YCd2I (GGA-PBE)

Data for a relaxed structure of YCd2I.

- electronic total energy (eV per atom) = -2.35
- SG = Fm-3m, No. 225
- formation energy (no corrections) (eV/atom) = 0.11

Unit cell a=7.8157 b=7.8157 c=7.8157 alpha=90.00 beta=90.00 gamma=90.00
Element x y z (fractional)
Y 0.0000 0.0000 0.0000
Y 0.0000 0.5000 0.5000
Y 0.5000 0.0000 0.5000
Y 0.5000 0.5000 0.0000
Cd 0.2500 0.2500 0.2500
Cd 0.2500 0.2500 0.7500
Cd 0.2500 0.7500 0.2500
Cd 0.2500 0.7500 0.7500
Cd 0.7500 0.2500 0.2500
Cd 0.7500 0.2500 0.7500
Cd 0.7500 0.7500 0.2500
Cd 0.7500 0.7500 0.7500
I 0.0000 0.0000 0.5000
I 0.0000 0.5000 0.0000
I 0.5000 0.0000 0.0000
I 0.5000 0.5000 0.5000

=====

## Pu2Fe3Ni (GGA-PBE)

Data for a relaxed structure of Pu2Fe3Ni.

- electronic total energy (eV per atom) = -10.10
- energy relative to the elements (eV per formula unit) = -0.78
- SG = R-3m, No. 166

Unit cell a=5.0331 b=5.0331 c=5.0331 alpha=60.77 beta=60.77 gamma=60.77
Element x y z (fractional)
Pu 0.1275 0.1275 0.1275
Pu 0.8725 0.8725 0.8725
Fe 0.0000 0.5000 0.5000
Fe 0.5000 0.0000 0.5000
Fe 0.5000 0.5000 0.0000
Ni 0.5000 0.5000 0.5000

=====

## Sm2YTm4 (GGA-PBE)

Data for a relaxed structure of Sm2YTm4.

- electronic total energy (eV per atom) = -4.55
- energy relative to the elements (eV per formula unit) = 1.97
- SG = I-42d, No. 122

Unit cell a=8.3984 b=8.3984 c=8.3984 alpha=109.50 beta=109.50 gamma=109.42
Element x y z (fractional)
Sm 0.0037 0.1250 0.3787
Sm 0.3750 0.9963 0.1213
Sm 0.7463 0.6250 0.6213
Sm 0.8750 0.2537 0.8787
Y 0.2500 0.7500 0.5000
Y 0.5000 0.5000 0.0000
Tm 0.1216 0.5373 0.7485
Tm 0.1230 0.0388 0.7515
Tm 0.2873 0.3716 0.2485
Tm 0.4627 0.2112 0.5842
Tm 0.6270 0.8784 0.4158
Tm 0.6284 0.8770 0.9158
Tm 0.7888 0.3730 0.2515
Tm 0.9612 0.7127 0.0842

=====

## LiFeIr (GGA-PBE)

Data for a relaxed structure of LiFeIr.

- electronic total energy (eV per atom) = -6.27
- energy relative to the elements (eV per formula unit) = 0.44
- SG = Pnma, No. 62

Unit cell a=6.6579 b=3.9201 c=6.6654 alpha=90.00 beta=90.00 gamma=90.00
Element x y z (fractional)
Li 0.0064 0.2500 0.1659
Li 0.4936 0.7500 0.6659
Li 0.5064 0.2500 0.3341
Li 0.9936 0.7500 0.8341
Fe 0.1735 0.7500 0.4036
Fe 0.3265 0.2500 0.9036
Fe 0.6735 0.7500 0.0964
Fe 0.8265 0.2500 0.5964
Ir 0.1710 0.2500 0.5933
Ir 0.3290 0.7500 0.0933
Ir 0.6710 0.2500 0.9067
Ir 0.8290 0.7500 0.4067